1.
Entry from Alexandria via LeMat-Bulk: YTlIn2 at its PBEsol-relaxed geometry (SCAN).

Values from the calculation:
- space-group type = No. 166
- formation enthalpy at 0 K (eV per atom) = -0.15

Lattice parameters (Å, degrees): 3.454 3.454 10.448 80.48 80.48 60.00
Element x y z (fractional)
In: 0.750 0.750 0.750
In: 0.250 0.250 0.250
Y: 0.000 0.000 0.000
Tl: 0.500 0.500 0.500



2.
Entry from Alexandria via LeMat-Bulk: LiYPt2 at its PBEsol-relaxed geometry (SCAN).

Values from the calculation:
- space-group type = No. 119
- formation enthalpy at 0 K (eV per atom) = -0.98

Lattice parameters (Å, degrees): 4.002 4.002 5.080 113.20 113.20 90.00
Element x y z (fractional)
Li: 0.500 0.500 0.000
Pt: 0.000 0.000 0.000
Pt: 0.750 0.250 0.500
Y: 0.250 0.750 0.500



3.
Entry from Alexandria via LeMat-Bulk: ZrSb2Au at its PBEsol-relaxed geometry (SCAN).

Values from the calculation:
- space-group type = No. 160
- E_form (uncorrected) (kJ/mol of atoms) = -24.1

Lattice parameters (Å, degrees): 3.672 3.672 8.321 77.25 77.25 60.00
Element x y z (fractional)
Zr: 0.506 0.506 0.483
Sb: 0.754 0.754 0.738
Sb: 0.992 0.992 0.023
Au: 0.248 0.248 0.256



4.
Entry from Alexandria via LeMat-Bulk: ZnTc5 at its PBEsol-relaxed geometry (SCAN).

Values from the calculation:
- space-group type = No. 123
- formation enthalpy at 0 K (eV per atom) = 0.06

Lattice parameters (Å, degrees): 2.733 2.733 11.161 90.00 90.00 90.00
Element x y z (fractional)
Tc: 0.000 0.000 0.500
Tc: 0.000 0.000 0.168
Tc: 0.500 0.500 0.327
Tc: 0.500 0.500 0.673
Tc: 0.000 0.000 0.832
Zn: 0.500 0.500 0.000



5.
Entry from Alexandria via LeMat-Bulk: RbLaGa3 at its PBEsol-relaxed geometry (SCAN).

Values from the calculation:
- space-group type = No. 221
- formation enthalpy at 0 K (eV per atom) = 0.39

Lattice parameters (Å, degrees): 5.715 5.715 5.715 90.00 90.00 90.00
Element x y z (fractional)
Rb: 0.500 0.500 0.500
Ga: 0.500 0.000 0.000
Ga: 0.000 0.000 0.500
Ga: 0.000 0.500 0.000
La: 0.000 0.000 0.000



6.
Entry from Alexandria via LeMat-Bulk: NiAsSe2N at its PBEsol-relaxed geometry (SCAN).

Values from the calculation:
- space-group type = No. 123
- E_form (uncorrected) (kJ/mol of atoms) = 103.5

Lattice parameters (Å, degrees): 3.480 5.010 5.010 90.00 90.00 90.00
Each line ends with the local moment (μB).
Element x y z (fractional)
As: 0.000 0.000 0.000  0.01
Se: 0.000 0.500 0.000  0.14
Se: 0.000 0.000 0.500  0.14
Ni: 0.500 0.500 0.500  1.23
N: 0.500 0.000 0.000  -0.02



7.
Entry from Alexandria via LeMat-Bulk: Ga2RuF at its PBEsol-relaxed geometry (SCAN).

Values from the calculation:
- space-group type = No. 225
- E_form (uncorrected) (kJ/mol of atoms) = -21.2

Lattice parameters (Å, degrees): 4.255 4.255 4.255 60.00 60.00 60.00
Each line ends with the local moment (μB).
Element x y z (fractional)
Ru: 0.500 0.500 0.500  0.21
Ga: 0.250 0.250 0.250  -0.01
Ga: 0.750 0.750 0.750  -0.01
F: 0.000 0.000 0.000  0.01



8.
Entry from Alexandria via LeMat-Bulk: Nb3CoS at its PBEsol-relaxed geometry (SCAN).

Values from the calculation:
- space-group type = No. 221
- E_form (uncorrected) (kJ/mol of atoms) = 37.3

Lattice parameters (Å, degrees): 4.491 4.491 4.491 90.00 90.00 90.00
Each line ends with the local moment (μB).
Element x y z (fractional)
S: 0.000 0.000 0.000  0.00
Nb: 0.500 0.000 0.000  0.27
Nb: 0.000 0.000 0.500  0.27
Nb: 0.000 0.500 0.000  0.27
Co: 0.500 0.500 0.500  2.14



So what do the calculations give for DOS(E_F)? Going down the list: 0.756, 0.310, 0.602, 0.761, 1.357, 0.675, 1.067, 1.070 states/eV per atom.